Density functional theory data (PBEsol) for a relaxed BaLiN crystal.

Computed properties:
Formation energy from raw total energies   -0.45 eV per atom
Mass density   4.8 Mg/m³
V   220.92 Å³ per cell

Lattice parameters (Å, degrees): 3.807 5.885 9.860 90.00 90.00 90.00
Positions (direct):
Li: 0.250 0.579 0.031
Ba: 0.750 0.522 0.339
N: 0.250 0.220 0.422
N: 0.250 0.280 0.922
Li: 0.250 0.921 0.531
Li: 0.750 0.421 0.969
Ba: 0.750 0.978 0.839
Li: 0.750 0.079 0.469
Ba: 0.250 0.022 0.161
N: 0.750 0.720 0.078
Ba: 0.250 0.478 0.661
N: 0.750 0.780 0.578

---

Density functional theory data (PBEsol) for a relaxed Ba14Na11Li5N6 crystal.

Computed properties:
Formation energy from raw total energies   -0.25 eV per atom
Mass density   2.8 Mg/m³
V   1342.65 Å³ per cell

Lattice parameters (Å, degrees): 12.383 12.383 12.383 60.00 60.00 60.00
Positions (direct):
Na: 0.671 0.671 0.671
Ba: 0.104 0.687 0.104
N: 0.147 0.853 0.853
Ba: 0.104 0.104 0.687
Na: 0.987 0.671 0.671
Ba: 0.712 0.712 0.288
N: 0.147 0.853 0.147
Ba: 0.288 0.712 0.288
Ba: 0.311 0.896 0.896
Na: 0.491 0.009 0.491
Ba: 0.288 0.712 0.712
Li: 0.318 0.318 0.046
Na: 0.500 0.500 0.500
N: 0.147 0.147 0.853
Na: 0.009 0.491 0.491
Ba: 0.687 0.104 0.104
Li: 0.318 0.046 0.318
Ba: 0.896 0.896 0.896
Ba: 0.896 0.311 0.896
Na: 0.009 0.491 0.009
N: 0.853 0.147 0.853
Ba: 0.104 0.104 0.104
Na: 0.491 0.009 0.009
Ba: 0.712 0.288 0.712
Na: 0.009 0.009 0.491
Li: 0.046 0.318 0.318
Ba: 0.288 0.288 0.712
Na: 0.671 0.987 0.671
N: 0.853 0.147 0.147
N: 0.853 0.853 0.147
Na: 0.671 0.671 0.987
Li: 0.000 0.000 0.000
Na: 0.491 0.491 0.009
Li: 0.318 0.318 0.318
Ba: 0.896 0.896 0.311
Ba: 0.712 0.288 0.288

---

Density functional theory data (PBEsol) for a relaxed Ba7Na5Li3N3 crystal.

Computed properties:
Formation energy from raw total energies   -0.24 eV per atom
Mass density   2.9 Mg/m³
V   1320.78 Å³ per cell

Lattice parameters (Å, degrees): 12.315 12.315 12.315 60.00 60.00 60.00
Positions (direct):
Na: 0.509 0.991 0.991
Li: 0.500 0.500 0.500
Ba: 0.895 0.314 0.895
Na: 0.991 0.509 0.991
N: 0.148 0.148 0.852
Ba: 0.104 0.688 0.104
Ba: 0.895 0.895 0.314
Ba: 0.895 0.895 0.895
Ba: 0.709 0.291 0.291
N: 0.852 0.852 0.148
Li: 0.000 0.000 0.000
Li: 0.682 0.954 0.682
N: 0.148 0.852 0.852
Li: 0.682 0.682 0.954
N: 0.148 0.852 0.148
Na: 0.991 0.991 0.509
Ba: 0.314 0.895 0.895
Ba: 0.104 0.104 0.104
Ba: 0.709 0.291 0.709
Na: 0.509 0.991 0.509
Ba: 0.291 0.709 0.291
Na: 0.329 0.329 0.329
Li: 0.682 0.682 0.682
Ba: 0.291 0.291 0.709
Na: 0.509 0.509 0.991
Ba: 0.104 0.104 0.688
Na: 0.014 0.329 0.329
Na: 0.329 0.014 0.329
Li: 0.954 0.682 0.682
Ba: 0.709 0.709 0.291
N: 0.852 0.148 0.148
Na: 0.991 0.509 0.509
N: 0.852 0.148 0.852
Na: 0.329 0.329 0.014
Ba: 0.688 0.104 0.104
Ba: 0.291 0.709 0.709